# 1
Cs2RbGaAs2 PBE-GGA optimized geometry; electronic total energy = -2.94 eV/atom; space group = Ibam (72); formation energy = -256 kJ/mol of formula units
1.0
-4.154 7.941 3.512
4.154 -7.941 3.512
4.154 7.941 -3.512
Cs Rb Ga As
4 2 2 4
Direct
0.174 0.208 0.383 Cs
0.326 0.708 0.034 Cs
0.674 0.292 0.966 Cs
0.826 0.792 0.617 Cs
0.250 0.750 0.500 Rb
0.750 0.250 0.500 Rb
0.250 0.250 0.000 Ga
0.750 0.750 0.000 Ga
0.081 0.828 0.909 As
0.419 0.328 0.746 As
0.581 0.672 0.254 As
0.919 0.172 0.091 As

# 2
CsGa2ReAs PBE-GGA optimized geometry; electronic total energy = -2.39 eV/atom; space group = P4/mmm (123); formation energy = 1165 kJ/mol of formula units
1.0
5.971 0.000 0.000
0.000 5.971 0.000
0.000 0.000 5.663
Cs Ga Re As
1 2 1 1
Direct
0.000 0.000 0.000 Cs
0.000 0.500 0.000 Ga
0.500 0.000 0.000 Ga
0.500 0.500 0.500 Re
0.000 0.000 0.500 As

# 3
CsGaSbAs PBE-GGA optimized geometry; electronic total energy = -3.49 eV/atom; ΔE_f (raw) = -32 kJ/mol of atoms; space group = P4/nmm (129)
1.0
4.417 0.000 0.000
0.000 4.417 0.000
0.000 0.000 14.034
Cs Ga Sb As
2 2 2 2
Direct
0.250 0.250 0.240 Cs
0.750 0.750 0.760 Cs
0.250 0.750 0.500 Ga
0.750 0.250 0.500 Ga
0.250 0.750 0.000 Sb
0.750 0.250 0.000 Sb
0.250 0.250 0.600 As
0.750 0.750 0.400 As

# 4
Cs2Ga2Sb2As PBE-GGA optimized geometry; electronic total energy = -3.14 eV/atom; ΔE_f (raw) = -18 kJ/mol of atoms; space group = P-1 (2)
1.0
4.439 0.000 0.000
2.202 7.463 0.000
2.217 2.033 8.459
Cs Ga Sb As
2 2 2 1
Direct
0.038 0.170 0.250 Cs
0.962 0.830 0.750 Cs
0.317 0.643 0.222 Ga
0.683 0.357 0.778 Ga
0.280 0.352 0.589 Sb
0.720 0.648 0.411 Sb
0.500 0.500 0.000 As

# 5
CsGaAsSe2 PBE-GGA optimized geometry; electronic total energy = -3.20 eV/atom; ΔE_f (raw) = -10 kJ/mol of atoms; space group = P4/mmm (123)
1.0
5.358 0.000 0.000
0.000 5.358 0.000
0.000 0.000 5.011
Cs Ga As Se
1 1 1 2
Direct
0.000 0.000 0.000 Cs
0.500 0.500 0.500 Ga
0.500 0.500 0.000 As
0.000 0.500 0.500 Se
0.500 0.000 0.500 Se

# 6
CsGaAsSe2 PBE-GGA optimized geometry; electronic total energy = -2.02 eV/atom; ΔE_f (raw) = 104 kJ/mol of atoms; space group = P4/mmm (123)
1.0
6.189 0.000 0.000
0.000 6.189 0.000
0.000 0.000 6.078
Cs Ga As Se
1 1 1 2
Direct
0.000 0.000 0.000 Cs
0.500 0.500 0.500 Ga
0.000 0.000 0.500 As
0.000 0.500 0.000 Se
0.500 0.000 0.000 Se

# 7
Cs2Ga2As2Se PBE-GGA optimized geometry; electronic total energy = -3.53 eV/atom; ΔE_f (raw) = -57 kJ/mol of atoms; space group = C2/m (12)
1.0
7.147 -2.101 0.000
7.147 2.101 0.000
-4.835 0.000 7.684
Cs Ga As Se
2 2 2 1
Direct
0.068 0.068 0.347 Cs
0.932 0.932 0.653 Cs
0.307 0.307 0.941 Ga
0.693 0.693 0.059 Ga
0.302 0.302 0.220 As
0.698 0.698 0.780 As
0.500 0.500 0.000 Se

# 8
Cs2Ga2SnAs4 PBE-GGA optimized geometry; electronic total energy = -3.69 eV/atom; space group = C2/m (12); formation energy = -272 kJ/mol of formula units
1.0
8.178 -2.024 0.000
8.178 2.024 0.000
-2.615 0.000 8.181
Cs Ga Sn As
2 2 1 4
Direct
0.133 0.133 0.041 Cs
0.867 0.867 0.959 Cs
0.327 0.327 0.524 Ga
0.673 0.673 0.476 Ga
0.000 0.000 0.500 Sn
0.201 0.201 0.661 As
0.478 0.478 0.711 As
0.522 0.522 0.289 As
0.799 0.799 0.339 As

| no. | calculated volume (Å³/atom) |
| --- | --- |
| 1 | 38.613 |
| 2 | 40.378 |
| 3 | 34.219 |
| 4 | 40.027 |
| 5 | 28.772 |
| 6 | 46.563 |
| 7 | 32.961 |
| 8 | 30.087 |